# TiOs3O, relaxed, DFT GGA-PBE
# Theoretical density in g/cm³: 10.9
# Uncorrected energy in eV/atom: -6.751
# SG: Pm-3m
# E_form (uncorrected) in meV/atom: 2558
data_TiOs3O
_cell_length_a 4.5833
_cell_length_b 4.5833
_cell_length_c 4.5833
_cell_angle_alpha 90.00
_cell_angle_beta 90.00
_cell_angle_gamma 90.00
_space_group_name_H-M_alt 'P 1'
_space_group_IT_number 1
_space_group_name_Hall 'P 1'
loop_
_atom_site_label
_atom_site_type_symbol
_atom_site_fract_x
_atom_site_fract_y
_atom_site_fract_z
Ti1 Ti 0.0000 0.0000 0.0000
Os1 Os 0.0000 0.0000 0.5000
Os2 Os 0.0000 0.5000 0.0000
Os3 Os 0.5000 0.0000 0.0000
O1 O 0.5000 0.5000 0.5000



# Ba2Tl6AgSn, relaxed, DFT GGA-PBE
# Theoretical density in g/cm³: 8.3
# Uncorrected energy in eV/atom: -2.622
# ΔE_f in kJ/mol of formula units: -127
# SG: R-3m
data_Ba2Tl6AgSn
_cell_length_a 13.9915
_cell_length_b 13.9915
_cell_length_c 13.9915
_cell_angle_alpha 32.20
_cell_angle_beta 32.20
_cell_angle_gamma 32.20
_space_group_name_H-M_alt 'P 1'
_space_group_IT_number 1
_space_group_name_Hall 'P 1'
loop_
_atom_site_label
_atom_site_type_symbol
_atom_site_fract_x
_atom_site_fract_y
_atom_site_fract_z
Ba1 Ba 0.1074 0.1074 0.1074
Ba2 Ba 0.2816 0.2816 0.2816
Ba3 Ba 0.7184 0.7184 0.7184
Ba4 Ba 0.8926 0.8926 0.8926
Tl1 Tl 0.0771 0.6641 0.6641
Tl2 Tl 0.2219 0.2219 0.6522
Tl3 Tl 0.2219 0.6522 0.2219
Tl4 Tl 0.3359 0.3359 0.9229
Tl5 Tl 0.3359 0.9229 0.3359
Tl6 Tl 0.3478 0.7781 0.7781
Tl7 Tl 0.6522 0.2219 0.2219
Tl8 Tl 0.6641 0.0771 0.6641
Tl9 Tl 0.6641 0.6641 0.0771
Tl10 Tl 0.7781 0.3478 0.7781
Tl11 Tl 0.7781 0.7781 0.3478
Tl12 Tl 0.9229 0.3359 0.3359
Ag1 Ag 0.0000 0.0000 0.0000
Ag2 Ag 0.5000 0.5000 0.5000
Sn1 Sn 0.4267 0.4267 0.4267
Sn2 Sn 0.5733 0.5733 0.5733



# Mn5V6Os, relaxed, DFT GGA-PBE
# Theoretical density in g/cm³: 8.7
# Uncorrected energy in eV/atom: -9.599
# ΔE_f in kJ/mol of formula units: -328
# SG: Immm
data_Mn5V6Os
_cell_length_a 7.0980
_cell_length_b 7.0980
_cell_length_c 7.0980
_cell_angle_alpha 146.29
_cell_angle_beta 131.65
_cell_angle_gamma 60.23
_space_group_name_H-M_alt 'P 1'
_space_group_IT_number 1
_space_group_name_Hall 'P 1'
loop_
_atom_site_label
_atom_site_type_symbol
_atom_site_fract_x
_atom_site_fract_y
_atom_site_fract_z
Mn1 Mn 0.0000 0.0000 0.0000
Mn2 Mn 0.1669 0.6669 0.5000
Mn3 Mn 0.3327 0.3327 0.0000
Mn4 Mn 0.6673 0.6673 0.0000
Mn5 Mn 0.8331 0.3331 0.5000
V1 V 0.0760 0.8300 0.2460
V2 V 0.2417 0.5000 0.7417
V3 V 0.4160 0.1700 0.2460
V4 V 0.5840 0.8300 0.7540
V5 V 0.7583 0.5000 0.2583
V6 V 0.9240 0.1700 0.7540
Os1 Os 0.5000 0.0000 0.5000



# TmPu2Tc2C4, relaxed, DFT GGA-PBE
# Theoretical density in g/cm³: 11.6
# Uncorrected energy in eV/atom: -10.040
# ΔE_f in kJ/mol of formula units: 39
# SG: C2/m
data_TmPu2Tc2C4
_cell_length_a 7.0105
_cell_length_b 7.0105
_cell_length_c 5.9323
_cell_angle_alpha 106.91
_cell_angle_beta 106.91
_cell_angle_gamma 27.62
_space_group_name_H-M_alt 'P 1'
_space_group_IT_number 1
_space_group_name_Hall 'P 1'
loop_
_atom_site_label
_atom_site_type_symbol
_atom_site_fract_x
_atom_site_fract_y
_atom_site_fract_z
Tm1 Tm 0.0000 0.0000 0.0000
Pu1 Pu 0.1270 0.1270 0.5265
Pu2 Pu 0.8730 0.8730 0.4735
Tc1 Tc 0.3220 0.3220 0.9948
Tc2 Tc 0.6780 0.6780 0.0052
C1 C 0.2257 0.2257 0.2242
C2 C 0.4557 0.4557 0.2543
C3 C 0.5443 0.5443 0.7457
C4 C 0.7743 0.7743 0.7758



# Pu2HN2, relaxed, DFT GGA-PBE
# Theoretical density in g/cm³: 13.7
# Uncorrected energy in eV/atom: -10.725
# SG: Ibam
data_Pu2HN2
_cell_length_a 6.1747
_cell_length_b 6.1747
_cell_length_c 6.1747
_cell_angle_alpha 131.33
_cell_angle_beta 69.51
_cell_angle_gamma 133.60
_space_group_name_H-M_alt 'P 1'
_space_group_IT_number 1
_space_group_name_Hall 'P 1'
loop_
_atom_site_label
_atom_site_type_symbol
_atom_site_fract_x
_atom_site_fract_y
_atom_site_fract_z
Pu1 Pu 0.1261 0.2479 0.3740
Pu2 Pu 0.3739 0.7479 0.1218
Pu3 Pu 0.6261 0.2521 0.8782
Pu4 Pu 0.8739 0.7521 0.6260
H1 H 0.2500 0.2500 0.0000
H2 H 0.7500 0.7500 0.0000
N1 N 0.1474 0.7014 0.8488
N2 N 0.3526 0.2014 0.5539
N3 N 0.6474 0.7986 0.4461
N4 N 0.8526 0.2986 0.1512



# UNb2Ni, relaxed, DFT GGA-PBE
# Theoretical density in g/cm³: 11.0
# Uncorrected energy in eV/atom: -8.772
# ΔE_f in kJ/mol of formula units: 205
# SG: R-3m
data_UNb2Ni
_cell_length_a 10.7581
_cell_length_b 10.7581
_cell_length_c 10.7581
_cell_angle_alpha 15.04
_cell_angle_beta 15.04
_cell_angle_gamma 15.04
_space_group_name_H-M_alt 'P 1'
_space_group_IT_number 1
_space_group_name_Hall 'P 1'
loop_
_atom_site_label
_atom_site_type_symbol
_atom_site_fract_x
_atom_site_fract_y
_atom_site_fract_z
U1 U 0.0000 0.0000 0.0000
Nb1 Nb 0.4222 0.4222 0.4222
Nb2 Nb 0.5778 0.5778 0.5778
Ni1 Ni 0.5000 0.5000 0.5000



# Mg15In4Hg, relaxed, DFT GGA-PBE
# Theoretical density in g/cm³: 3.8
# Uncorrected energy in eV/atom: -1.851
# ΔE_f in kJ/mol of formula units: -178
# SG: P4/mmm
data_Mg15In4Hg
_cell_length_a 4.5266
_cell_length_b 4.5266
_cell_length_c 21.9653
_cell_angle_alpha 90.00
_cell_angle_beta 90.00
_cell_angle_gamma 90.00
_space_group_name_H-M_alt 'P 1'
_space_group_IT_number 1
_space_group_name_Hall 'P 1'
loop_
_atom_site_label
_atom_site_type_symbol
_atom_site_fract_x
_atom_site_fract_y
_atom_site_fract_z
Mg1 Mg 0.0000 0.0000 0.0000
Mg2 Mg 0.0000 0.0000 0.1976
Mg3 Mg 0.0000 0.0000 0.3992
Mg4 Mg 0.0000 0.0000 0.6008
Mg5 Mg 0.0000 0.0000 0.8024
Mg6 Mg 0.0000 0.5000 0.0970
Mg7 Mg 0.0000 0.5000 0.2986
Mg8 Mg 0.0000 0.5000 0.5000
Mg9 Mg 0.0000 0.5000 0.7014
Mg10 Mg 0.0000 0.5000 0.9030
Mg11 Mg 0.5000 0.0000 0.0970
Mg12 Mg 0.5000 0.0000 0.2986
Mg13 Mg 0.5000 0.0000 0.5000
Mg14 Mg 0.5000 0.0000 0.7014
Mg15 Mg 0.5000 0.0000 0.9030
In1 In 0.5000 0.5000 0.1979
In2 In 0.5000 0.5000 0.3992
In3 In 0.5000 0.5000 0.6008
In4 In 0.5000 0.5000 0.8021
Hg1 Hg 0.5000 0.5000 0.0000



# Mn2ZnGe, relaxed, DFT GGA-PBE
# Theoretical density in g/cm³: 7.4
# Uncorrected energy in eV/atom: -5.910
# ΔE_f in kJ/mol of formula units: 57
# SG: F-43m
data_Mn2ZnGe
_cell_length_a 4.2879
_cell_length_b 4.2879
_cell_length_c 4.2879
_cell_angle_alpha 60.00
_cell_angle_beta 60.00
_cell_angle_gamma 60.00
_space_group_name_H-M_alt 'P 1'
_space_group_IT_number 1
_space_group_name_Hall 'P 1'
loop_
_atom_site_label
_atom_site_type_symbol
_atom_site_fract_x
_atom_site_fract_y
_atom_site_fract_z
Mn1 Mn 0.0000 0.0000 0.0000
Mn2 Mn 0.2500 0.2500 0.2500
Zn1 Zn 0.5000 0.5000 0.5000
Ge1 Ge 0.7500 0.7500 0.7500



# La4YPu3S8, relaxed, DFT GGA-PBE
# Theoretical density in g/cm³: 7.2
# Uncorrected energy in eV/atom: -8.386
# SG: R-3m
# E_form (uncorrected) in meV/atom: -2000
data_La4YPu3S8
_cell_length_a 8.1397
_cell_length_b 8.1397
_cell_length_c 8.1397
_cell_angle_alpha 59.45
_cell_angle_beta 59.45
_cell_angle_gamma 59.45
_space_group_name_H-M_alt 'P 1'
_space_group_IT_number 1
_space_group_name_Hall 'P 1'
loop_
_atom_site_label
_atom_site_type_symbol
_atom_site_fract_x
_atom_site_fract_y
_atom_site_fract_z
La1 La 0.0000 0.0000 0.0000
La2 La 0.0000 0.5000 0.5000
La3 La 0.5000 0.0000 0.5000
La4 La 0.5000 0.5000 0.0000
Y1 Y 0.5000 0.5000 0.5000
Pu1 Pu 0.0000 0.0000 0.5000
Pu2 Pu 0.0000 0.5000 0.0000
Pu3 Pu 0.5000 0.0000 0.0000
S1 S 0.2446 0.2446 0.2446
S2 S 0.2460 0.7439 0.7439
S3 S 0.2561 0.2561 0.7540
S4 S 0.2561 0.7540 0.2561
S5 S 0.7439 0.2460 0.7439
S6 S 0.7439 0.7439 0.2460
S7 S 0.7540 0.2561 0.2561
S8 S 0.7554 0.7554 0.7554



# Mn4CuAs, relaxed, DFT GGA-PBE
# Theoretical density in g/cm³: 7.8
# Uncorrected energy in eV/atom: -7.144
# ΔE_f in kJ/mol of formula units: 247
# SG: F-43m
data_Mn4CuAs
_cell_length_a 4.7562
_cell_length_b 4.7562
_cell_length_c 4.7562
_cell_angle_alpha 60.00
_cell_angle_beta 60.00
_cell_angle_gamma 60.00
_space_group_name_H-M_alt 'P 1'
_space_group_IT_number 1
_space_group_name_Hall 'P 1'
loop_
_atom_site_label
_atom_site_type_symbol
_atom_site_fract_x
_atom_site_fract_y
_atom_site_fract_z
Mn1 Mn 0.1252 0.1252 0.1252
Mn2 Mn 0.1252 0.1252 0.6244
Mn3 Mn 0.1252 0.6244 0.1252
Mn4 Mn 0.6244 0.1252 0.1252
Cu1 Cu 0.5000 0.5000 0.5000
As1 As 0.7500 0.7500 0.7500



# AcNdEr2As4, relaxed, DFT GGA-PBE
# Theoretical density in g/cm³: 7.7
# Uncorrected energy in eV/atom: -6.046
# ΔE_f in kJ/mol of formula units: -1135
# SG: P2/m
data_AcNdEr2As4
_cell_length_a 7.3561
_cell_length_b 4.2537
_cell_length_c 7.3692
_cell_angle_alpha 90.00
_cell_angle_beta 109.45
_cell_angle_gamma 90.00
_space_group_name_H-M_alt 'P 1'
_space_group_IT_number 1
_space_group_name_Hall 'P 1'
loop_
_atom_site_label
_atom_site_type_symbol
_atom_site_fract_x
_atom_site_fract_y
_atom_site_fract_z
Ac1 Ac 0.0000 0.0000 0.0000
Nd1 Nd 0.0000 0.5000 0.5000
Er1 Er 0.5000 0.0000 0.5000
Er2 Er 0.5000 0.5000 0.0000
As1 As 0.2661 0.0000 0.7493
As2 As 0.2712 0.5000 0.2633
As3 As 0.7288 0.5000 0.7367
As4 As 0.7339 0.0000 0.2507



# Sc2TcBPb, relaxed, DFT GGA-PBE
# Theoretical density in g/cm³: 7.4
# Uncorrected energy in eV/atom: -7.028
# ΔE_f in kJ/mol of formula units: -167
# SG: P4/mmm
data_Sc2TcBPb
_cell_length_a 4.6911
_cell_length_b 4.6911
_cell_length_c 4.1366
_cell_angle_alpha 90.00
_cell_angle_beta 90.00
_cell_angle_gamma 90.00
_space_group_name_H-M_alt 'P 1'
_space_group_IT_number 1
_space_group_name_Hall 'P 1'
loop_
_atom_site_label
_atom_site_type_symbol
_atom_site_fract_x
_atom_site_fract_y
_atom_site_fract_z
Sc1 Sc 0.0000 0.5000 0.0000
Sc2 Sc 0.5000 0.0000 0.0000
Tc1 Tc 0.0000 0.0000 0.5000
B1 B 0.0000 0.0000 0.0000
Pb1 Pb 0.5000 0.5000 0.5000



> Among the records above, which one has the lowest uncorrected energy?

Pu2HN2